# PBE-GGA NdPb3Cl, optimized geometry
data_NdPb3Cl
_space_group_name_H-M_alt 'C m c m'
_space_group_IT_number 63
_space_group_name_Hall '-C 2c 2'
_cell_length_a 5.3096
_cell_length_b 16.6819
_cell_length_c 6.6559
_cell_angle_alpha 90.00
_cell_angle_beta 90.00
_cell_angle_gamma 90.00
loop_
_atom_site_label
_atom_site_fract_x
_atom_site_fract_y
_atom_site_fract_z
_atom_site_occupancy
Nd1 0.0000 0.2167 0.2500 1
Pb1 0.0000 0.0077 0.2500 1
Pb2 0.0000 0.4046 0.5036 1
Cl1 0.0000 0.2181 0.7500 1
# Electronic total energy = -0.3003 Ry per atom

---

# PBE-GGA LuCoHgSb, optimized geometry
data_LuCoHgSb
_space_group_name_H-M_alt 'F -4 3 m'
_space_group_IT_number 216
_space_group_name_Hall 'F -4 2 3'
_cell_length_a 6.8728
_cell_length_b 6.8728
_cell_length_c 6.8728
_cell_angle_alpha 90.00
_cell_angle_beta 90.00
_cell_angle_gamma 90.00
loop_
_atom_site_label
_atom_site_fract_x
_atom_site_fract_y
_atom_site_fract_z
_atom_site_occupancy
Lu1 0.0000 0.0000 0.0000 1
Co1 0.0000 0.0000 0.5000 1
Hg1 0.2500 0.2500 0.7500 1
Sb1 0.2500 0.2500 0.2500 1
# Electronic total energy = -0.2977 Ry per atom

---

# PBE-GGA NiPdW, optimized geometry
data_NiPdW
_space_group_name_H-M_alt 'F -4 3 m'
_space_group_IT_number 216
_space_group_name_Hall 'F -4 2 3'
_cell_length_a 5.8677
_cell_length_b 5.8677
_cell_length_c 5.8677
_cell_angle_alpha 90.00
_cell_angle_beta 90.00
_cell_angle_gamma 90.00
loop_
_atom_site_label
_atom_site_fract_x
_atom_site_fract_y
_atom_site_fract_z
_atom_site_occupancy
Ni1 0.0000 0.0000 0.0000 1
Pd1 0.0000 0.0000 0.5000 1
W1 0.2500 0.2500 0.2500 1
# ΔE_f = 0.722 eV/atom

---

no.,total magnetic moment (μB/atom)
1,0.000
2,0.002
3,0.000